# 1
Mo2HRuS | PBE | relaxed

The structure belongs to space group P4/mmm (No. 123); the cell edges are 4.410, 4.410 and 4.284 Å and the angles 90.00°, 90.00° and 90.00°. Symmetry generates all atoms from Mo at (0.000, 0.500, 0.000), H at (0.000, 0.000, 0.500), Ru at (0.500, 0.500, 0.500) and S at (0.500, 0.500, 0.000).

For the total DFT energy (no corrections), the calculation gives -32.24 eV for the cell shown.

***

# 2
K2TePbO4 | PBE | relaxed

The structure belongs to space group C2 (No. 5); the cell edges are 10.494, 11.491 and 7.420 Å and the angles 90.00°, 133.60° and 90.00°. Symmetry generates all atoms from K at (0.009, 0.000, 0.275), K at (0.247, 0.257, 0.297), Te at (0.248, 0.769, 0.186), Pb at (0.011, 0.507, 0.785), O at (0.059, 0.264, 0.792), O at (0.062, 0.746, 0.834), O at (0.203, 0.487, 0.199) and O at (0.227, 0.932, 0.202).

For the total DFT energy (no corrections), the calculation gives -158.05 eV for the cell shown. The energy relative to the elements, uncorrected comes out at -1.329 eV per atom.

***

# 3
NaGa3 | PBE | relaxed

The structure belongs to space group Fm-3m (No. 225); the cell edges are 6.826, 6.826 and 6.826 Å and the angles 90.00°, 90.00° and 90.00°. Symmetry generates all atoms from Na at (0.000, 0.000, 0.000), Ga at (0.000, 0.000, 0.500) and Ga at (0.250, 0.250, 0.250).

For the total DFT energy (no corrections), the calculation gives -41.76 eV for the cell shown. For the energy relative to the elements, the calculation gives -10 meV per atom.

***

# 4
TiGa3Pd6 | PBE | relaxed

The structure belongs to space group P2_1/m (No. 11); the cell edges are 10.676, 2.868 and 11.217 Å and the angles 90.00°, 114.75° and 90.00°. Symmetry generates all atoms from Ti at (0.085, 0.250, 0.217), Ga at (0.224, 0.250, 0.629), Ga at (0.340, 0.750, 0.009), Ga at (0.490, 0.750, 0.626), Pd at (0.061, 0.750, 0.421), Pd at (0.110, 0.250, 0.985), Pd at (0.157, 0.750, 0.781), Pd at (0.305, 0.250, 0.446), Pd at (0.305, 0.750, 0.218) and Pd at (0.451, 0.750, 0.838).

For the total DFT energy (no corrections), the calculation gives -106.92 eV for the cell shown. For the energy relative to the elements, the calculation gives -533 meV per atom.

***

# 5
Ca2MgCu4 | PBE | relaxed

The structure belongs to space group R-3m (No. 166, hexagonal axes); the cell edges are 4.7464, 4.7464 and 20.9485 Å and the angles 90.00°, 90.00° and 120.00°. Symmetry generates all atoms from Ca at (0.0000, 0.0000, 0.2364), Mg at (0.0000, 0.0000, 0.5000), Cu at (0.0000, 0.0000, 0.0580) and Cu at (0.0000, 0.0000, 0.3715).

For the total DFT energy (no corrections), the calculation gives -63.22 eV for the cell shown. Its energy above the most stable polymorph in this dataset is 205 meV per atom. For the energy relative to the elements, the calculation gives 130 meV per atom.

***

# 6
PrPaCo | PBE | relaxed

The structure belongs to space group P2_1/c (No. 14); the cell edges are 6.389, 7.124 and 7.133 Å and the angles 90.00°, 116.18° and 90.00°. Symmetry generates all atoms from Pr at (0.220, 0.157, 0.408), Pa at (0.260, 0.656, 0.564) and Co at (0.382, 0.567, 0.299).

For the total DFT energy (no corrections), the calculation gives -85.87 eV for the cell shown. Its energy above the most stable polymorph in this dataset is 149 meV per atom. For the energy relative to the elements, the calculation gives -28 meV per atom.